No. 1
# Ce2Zn4SnAu3, optimized geometry, DFT PBE
data_Ce2Zn4SnAu3
_space_group_name_H-M_alt 'P -4 m 2'
_space_group_IT_number 115
_space_group_name_Hall 'P -4 -2'
_cell_length_a 4.295
_cell_length_b 4.295
_cell_length_c 11.417
_cell_angle_alpha 90.00
_cell_angle_beta 90.00
_cell_angle_gamma 90.00
loop_
_atom_site_label
_atom_site_fract_x
_atom_site_fract_y
_atom_site_fract_z
Ce1 0.000 0.500 0.242
Zn1 0.000 0.000 0.000
Zn2 0.000 0.500 0.644
Zn3 0.500 0.500 0.000
Sn1 0.000 0.000 0.500
Au1 0.000 0.500 0.864
Au2 0.500 0.500 0.500
# Crystal system: tetragonal
# Formation energy (eV per atom): -0.439
# ρ (g/cm3): 9.867


No. 2
# Mg2SnPd4, optimized geometry, DFT PBE
data_Mg2SnPd4
_space_group_name_H-M_alt 'I 4/m m m'
_space_group_IT_number 139
_space_group_name_Hall '-I 4 2'
_cell_length_a 4.896
_cell_length_b 4.896
_cell_length_c 13.342
_cell_angle_alpha 90.00
_cell_angle_beta 90.00
_cell_angle_gamma 90.00
loop_
_atom_site_label
_atom_site_fract_x
_atom_site_fract_y
_atom_site_fract_z
Mg1 0.000 0.000 0.114
Sn1 0.000 0.000 0.500
Pd1 0.000 0.000 0.306
Pd2 0.000 0.500 0.000
# Crystal system: tetragonal
# Formation energy (eV per atom): 0.092
# ρ (g/cm3): 6.157
# Relative energy among the computed polymorphs (eV per atom): 0.618


No. 3
# CaTcP2, optimized geometry, DFT PBE
data_CaTcP2
_space_group_name_H-M_alt 'I m m m'
_space_group_IT_number 71
_space_group_name_Hall '-I 2 2'
_cell_length_a 4.067
_cell_length_b 5.496
_cell_length_c 6.550
_cell_angle_alpha 90.00
_cell_angle_beta 90.00
_cell_angle_gamma 90.00
loop_
_atom_site_label
_atom_site_fract_x
_atom_site_fract_y
_atom_site_fract_z
Ca1 0.000 0.000 0.000
Tc1 0.000 0.000 0.500
P1 0.000 0.500 0.187
# Crystal system: orthorhombic
# Formation energy (eV per atom): -0.319
# ρ (g/cm3): 4.537
# Relative energy among the computed polymorphs (eV per atom): 0.269


No. 4
# CaAgBr2, optimized geometry, DFT PBE
data_CaAgBr2
_space_group_name_H-M_alt 'P 4/m m m'
_space_group_IT_number 123
_space_group_name_Hall '-P 4 2'
_cell_length_a 4.975
_cell_length_b 4.975
_cell_length_c 3.998
_cell_angle_alpha 90.00
_cell_angle_beta 90.00
_cell_angle_gamma 90.00
loop_
_atom_site_label
_atom_site_fract_x
_atom_site_fract_y
_atom_site_fract_z
Ca1 0.000 0.000 0.000
Ag1 0.500 0.500 0.000
Br1 0.000 0.500 0.500
# Crystal system: tetragonal
# Uncorrected formation energy (eV per atom): -0.875
# ρ (g/cm3): 5.164
# Relative energy among the computed polymorphs (eV per atom): 0.186


No. 5
# HfAs3Pb, optimized geometry, DFT PBE
data_HfAs3Pb
_space_group_name_H-M_alt 'P m -3 m'
_space_group_IT_number 221
_space_group_name_Hall '-P 4 2 3'
_cell_length_a 5.208
_cell_length_b 5.208
_cell_length_c 5.208
_cell_angle_alpha 90.00
_cell_angle_beta 90.00
_cell_angle_gamma 90.00
loop_
_atom_site_label
_atom_site_fract_x
_atom_site_fract_y
_atom_site_fract_z
Hf1 0.000 0.000 0.000
As1 0.000 0.500 0.500
Pb1 0.500 0.500 0.500
# Crystal system: cubic
# Formation energy (eV per atom): 1.229
# ρ (g/cm3): 7.178
# Relative energy among the computed polymorphs (eV per atom): 1.192


No. 6
# ScZn3Au, optimized geometry, DFT PBE
data_ScZn3Au
_space_group_name_H-M_alt 'C m m m'
_space_group_IT_number 65
_space_group_name_Hall '-C 2 2'
_cell_length_a 4.286
_cell_length_b 25.766
_cell_length_c 3.268
_cell_angle_alpha 90.00
_cell_angle_beta 90.00
_cell_angle_gamma 90.00
loop_
_atom_site_label
_atom_site_fract_x
_atom_site_fract_y
_atom_site_fract_z
Sc1 0.000 0.174 0.000
Zn1 0.000 0.060 0.500
Zn2 0.000 0.272 0.500
Zn3 0.000 0.453 0.000
Au1 0.000 0.373 0.500
# Crystal system: orthorhombic
# Formation energy (eV per atom): -0.280
# ρ (g/cm3): 8.063
# Relative energy among the computed polymorphs (eV per atom): 0.058


No. 7
# CuAs, optimized geometry, DFT PBE
data_CuAs
_space_group_name_H-M_alt 'P 4/n m m'
_space_group_IT_number 129
_cell_length_a 3.675
_cell_length_b 3.675
_cell_length_c 4.830
_cell_angle_alpha 90.00
_cell_angle_beta 90.00
_cell_angle_gamma 90.00
loop_
_space_group_symop_operation_xyz
'x,y,z'
'-x,-y,-z'
'-y+1/2,x,z'
'y+1/2,-x,-z'
'-x+1/2,-y+1/2,z'
'x+1/2,y+1/2,-z'
'y,-x+1/2,z'
'-y,x+1/2,-z'
'x+1/2,-y,-z'
'-x+1/2,y,z'
'-y,-x,-z'
'y,x,z'
'-x,y+1/2,-z'
'x,-y+1/2,z'
'y+1/2,x+1/2,-z'
'-y+1/2,-x+1/2,z'
loop_
_atom_site_label
_atom_site_fract_x
_atom_site_fract_y
_atom_site_fract_z
Cu1 0.250 0.750 0.000
As1 0.250 0.250 0.372
# Crystal system: tetragonal
# Formation energy (eV per atom): 0.213
# ρ (g/cm3): 7.050


No. 8
# PmYBeSi, optimized geometry, DFT PBE
data_PmYBeSi
_space_group_name_H-M_alt 'F -4 3 m'
_space_group_IT_number 216
_space_group_name_Hall 'F -4 2 3'
_cell_length_a 6.995
_cell_length_b 6.995
_cell_length_c 6.995
_cell_angle_alpha 90.00
_cell_angle_beta 90.00
_cell_angle_gamma 90.00
loop_
_atom_site_label
_atom_site_fract_x
_atom_site_fract_y
_atom_site_fract_z
Pm1 0.000 0.000 0.000
Y1 0.000 0.000 0.500
Be1 0.250 0.250 0.250
Si1 0.250 0.250 0.750
# Crystal system: cubic
# Uncorrected formation energy (eV per atom): -0.218
# ρ (g/cm3): 5.260